# 1
28
Lattice="8.231 0.000 0.000 0.000 8.231 0.000 0.000 0.000 6.560" Properties=species:S:1:pos:R:3 comment="La2PdO4 (PBE, relaxed)" m_tot_mub_per_cell=0.000 energy_ev_per_fu=-53.117 sg=P4/ncc pbc="T T T"
La 6.775 1.456 1.640
La 1.456 1.456 4.920
La 5.572 5.572 1.640
La 1.456 6.775 1.640
La 5.572 2.659 4.920
La 6.775 6.775 4.920
La 2.659 5.572 4.920
La 2.659 2.659 1.640
O 7.637 6.103 2.768
O 6.243 3.522 2.768
O 0.594 6.103 6.048
O 2.128 0.594 0.512
O 6.103 7.637 0.512
O 2.128 7.637 3.792
O 7.637 2.128 6.048
O 4.709 1.988 0.512
O 1.988 3.522 6.048
O 6.103 0.594 3.792
O 1.988 4.709 2.768
O 6.243 4.709 6.048
O 3.522 1.988 3.792
O 0.594 2.128 2.768
O 3.522 6.243 0.512
O 4.709 6.243 3.792
Pd 4.115 0.000 3.710
Pd 0.000 4.115 6.131
Pd 0.000 4.115 2.850
Pd 4.115 0.000 0.430


# 2
9
Lattice="7.107 0.000 0.000 0.000 4.075 0.000 0.000 0.000 4.075" Properties=species:S:1:pos:R:3 comment="La2Pd2O5 (PBE, relaxed)" m_tot_mub_per_cell=0.001 sg=P4/mmm e_above_lowest_polymorph_mev_per_atom=0 pbc="T T T"
La 0.000 0.000 0.000
La 3.553 0.000 0.000
Pd 5.719 2.038 2.038
Pd 1.388 2.038 2.038
O 3.553 2.038 2.038
O 1.625 0.000 2.038
O 5.482 0.000 2.038
O 5.482 2.038 0.000
O 1.625 2.038 0.000


# 3
16
Lattice="-4.522 4.522 2.872 4.522 -4.522 2.872 4.522 4.522 -2.872" Properties=species:S:1:pos:R:3 comment="La2PdO5 (PBE, relaxed)" m_tot_mub_per_cell=0.015 energy_ev_per_fu=-57.947 sg=I4/m pbc="T T T"
La 1.655 5.477 0.000
La 3.567 1.655 0.000
La 0.955 2.867 2.872
La 2.867 -0.955 2.872
O -0.880 1.754 1.479
O 1.754 0.880 4.265
O 4.522 0.000 1.436
O 1.754 0.880 1.479
O -0.880 1.754 4.265
O 0.000 4.522 1.436
O 2.768 3.642 -1.393
O 2.768 3.642 1.393
O 5.401 2.768 -1.393
O 5.401 2.768 1.393
Pd 0.000 0.000 1.379
Pd 0.000 0.000 4.366


# 4
10
Lattice="-5.498 0.689 1.111 -1.384 1.497 5.271 -1.818 5.296 0.769" Properties=species:S:1:pos:R:3 comment="La2SnPdO6 (PBE, relaxed)" m_tot_mub_per_cell=0.036 energy_ev_per_fu=-70.328 sg=R-3 pbc="T T T"
O -2.446 3.088 4.503
O -3.713 5.713 4.360
O -5.199 2.935 5.458
O -6.254 4.393 2.649
O -3.501 4.546 1.694
O -4.988 1.769 2.792
La -6.541 5.625 5.377
La -2.159 1.856 1.774
Sn 0.000 0.000 0.000
Pd -4.350 3.741 3.576


# 5
14
Lattice="-1.301 6.776 -1.470 6.454 -2.656 -1.032 -5.324 -1.936 -4.204" Properties=species:S:1:pos:R:3 comment="LaPm2O4 (PBE, relaxed)" m_tot_mub_per_cell=0.001 energy_ev_per_fu=-56.321 sg=Fd-3m pbc="T T T"
O -1.368 2.810 -2.760
O -3.814 1.921 -4.691
O -3.036 -1.477 -4.114
O 2.121 1.374 -3.319
O 2.719 -1.739 -2.643
O -0.071 -2.697 -4.587
O -0.669 0.416 -5.263
O -0.590 -0.588 -2.182
La 0.000 0.000 0.000
La 0.920 3.270 -2.670
Pm 1.025 -0.661 -3.953
Pm 3.687 0.307 -1.851
Pm -2.853 4.055 -4.172
Pm -2.202 0.667 -3.437


# 6
6
Lattice="3.605 0.000 0.000 -1.803 3.122 0.000 0.000 0.000 8.818" Properties=species:S:1:pos:R:3 comment="La2PrO3 (PBE, relaxed)" m_tot_mub_per_cell=0.014 energy_ev_per_fu=-46.322 sg=P-3m1 pbc="T T T"
La 1.803 1.041 2.931
La 0.000 2.082 5.887
O 1.803 1.041 7.376
O 0.000 2.082 1.443
O 0.000 0.000 4.409
Pr 0.000 0.000 0.000